# 1
Below is Rb2NaMnI after structural relaxation, with properties calculated at the PBEsol level.

Uncorrected energy = -2.55 eV/atom
Calculated volume = 57.3 A^3/atom
Space group = No. 123
Fermi-level density of states = 1.062 states/eV per atom

```
data_Rb2NaMnI
_chemical_formula_sum 'Rb2 Na1 Mn1 I1'
_cell_length_a 5.6699
_cell_length_b 7.1070
_cell_length_c 7.1070
_cell_angle_alpha 90.00
_cell_angle_beta 90.00
_cell_angle_gamma 90.00
_symmetry_space_group_name_H-M 'P 1'
_symmetry_Int_Tables_number 1
loop_
_symmetry_equiv_pos_as_xyz
'x,y,z'
loop_
_atom_site_label
_atom_site_type_symbol
_atom_site_fract_x
_atom_site_fract_y
_atom_site_fract_z
Mn1 Mn 0.5000 0.5000 0.5000
Rb1 Rb 0.0000 0.0000 0.5000
Na1 Na 0.0000 0.0000 0.0000
I1 I 0.5000 0.0000 0.0000
Rb2 Rb 0.0000 0.5000 0.0000
```

# 2
Below is Na2YMnI after structural relaxation, with properties calculated at the PBEsol level.

Uncorrected energy = -3.51 eV/atom
Calculated volume = 29.2 A^3/atom
Space group = No. 123
Fermi-level density of states = 1.082 states/eV per atom

```
data_Na2YMnI
_chemical_formula_sum 'Na2 Y1 Mn1 I1'
_cell_length_a 5.0551
_cell_length_b 5.3707
_cell_length_c 5.3707
_cell_angle_alpha 90.00
_cell_angle_beta 90.00
_cell_angle_gamma 90.00
_symmetry_space_group_name_H-M 'P 1'
_symmetry_Int_Tables_number 1
loop_
_symmetry_equiv_pos_as_xyz
'x,y,z'
loop_
_atom_site_label
_atom_site_type_symbol
_atom_site_fract_x
_atom_site_fract_y
_atom_site_fract_z
Y1 Y 0.5000 0.5000 0.5000
Na1 Na 0.0000 0.0000 0.5000
I1 I 0.5000 0.0000 0.0000
Na2 Na 0.0000 0.5000 0.0000
Mn1 Mn 0.0000 0.0000 0.0000
```

# 3
Below is MnNbI2 after structural relaxation, with properties calculated at the PBEsol level.

Uncorrected energy = -5.42 eV/atom
Calculated volume = 20.4 A^3/atom
Space group = No. 225
Fermi-level density of states = 1.173 states/eV per atom

```
data_MnNbI2
_chemical_formula_sum 'Mn1 Nb1 I2'
_cell_length_a 4.8691
_cell_length_b 4.8691
_cell_length_c 4.8691
_cell_angle_alpha 60.00
_cell_angle_beta 60.00
_cell_angle_gamma 60.00
_symmetry_space_group_name_H-M 'P 1'
_symmetry_Int_Tables_number 1
loop_
_symmetry_equiv_pos_as_xyz
'x,y,z'
loop_
_atom_site_label
_atom_site_type_symbol
_atom_site_fract_x
_atom_site_fract_y
_atom_site_fract_z
Mn1 Mn 0.0000 0.0000 0.0000
Nb1 Nb 0.5000 0.5000 0.5000
I1 I 0.2500 0.2500 0.2500
I2 I 0.7500 0.7500 0.7500
```

# 4
Below is MnNb2PI after structural relaxation, with properties calculated at the PBEsol level.

Uncorrected energy = -5.73 eV/atom
Calculated volume = 25.2 A^3/atom
Space group = No. 123
Fermi-level density of states = 1.043 states/eV per atom

```
data_MnNb2PI
_chemical_formula_sum 'Mn1 Nb2 P1 I1'
_cell_length_a 4.9957
_cell_length_b 4.9957
_cell_length_c 5.0557
_cell_angle_alpha 90.00
_cell_angle_beta 90.00
_cell_angle_gamma 90.00
_symmetry_space_group_name_H-M 'P 1'
_symmetry_Int_Tables_number 1
loop_
_symmetry_equiv_pos_as_xyz
'x,y,z'
loop_
_atom_site_label
_atom_site_type_symbol
_atom_site_fract_x
_atom_site_fract_y
_atom_site_fract_z
I1 I 0.0000 0.0000 0.0000
Mn1 Mn 0.5000 0.5000 0.5000
P1 P 0.0000 0.0000 0.5000
Nb1 Nb 0.0000 0.5000 0.0000
Nb2 Nb 0.5000 0.0000 0.0000
```

- Among the records above, which one has the highest uncorrected energy?
  Rb2NaMnI